This record from Alexandria describes NaGaFeGe2 after structural relaxation. The functional is PBE-GGA.

Unit cell a=4.619 b=4.619 c=4.684 alpha=90.00 beta=90.00 gamma=90.00
Space group P4/mmm (No. 123)
Asymmetric unit:
Na 0.000 0.000 0.000 [1 per cell]
Ga 0.500 0.500 0.000 [1 per cell]
Fe 0.500 0.500 0.500 [1 per cell]
Ge 0.000 0.500 0.500 [2 per cell]

Results
The value obtained for the energy relative to the elements is 0.006 eV per atom. As for the crystal system: tetragonal. The total magnetization comes out at 1.87 μB per formula unit.

This record from Alexandria describes NaGa2FeGe after structural relaxation. The functional is PBE-GGA.

Unit cell a=4.651 b=4.651 c=4.538 alpha=90.00 beta=90.00 gamma=90.00
Space group P4/mmm (No. 123)
Asymmetric unit:
Na 0.000 0.000 0.000 [1 per cell]
Ga 0.000 0.500 0.500 [2 per cell]
Fe 0.500 0.500 0.500 [1 per cell]
Ge 0.500 0.500 0.000 [1 per cell]

Results
The value obtained for the energy relative to the elements is -0.087 eV per atom. As for the crystal system: tetragonal. The total magnetization comes out at 1.03 μB per formula unit.

This record from Alexandria describes Ga2FeNiGe after structural relaxation. The functional is PBE-GGA.

Unit cell a=4.502 b=4.502 c=4.390 alpha=90.00 beta=90.00 gamma=90.00
Space group P4/mmm (No. 123)
Asymmetric unit:
Ga 0.000 0.500 0.000 [2 per cell]
Fe 0.000 0.000 0.000 [1 per cell]
Ni 0.500 0.500 0.500 [1 per cell]
Ge 0.000 0.000 0.500 [1 per cell]

Results
The value obtained for the energy relative to the elements is 0.402 eV per atom. As for the crystal system: tetragonal. The total magnetization comes out at 0.14 μB per formula unit.

This record from Alexandria describes NpGaFe2Ge2 after structural relaxation. The functional is PBE-GGA.

Unit cell a=4.352 b=4.352 c=5.550 alpha=90.00 beta=90.00 gamma=90.00
Space group P4/mmm (No. 123)
Asymmetric unit:
Np 0.000 0.000 0.000 [1 per cell]
Ga 0.000 0.000 0.500 [1 per cell]
Fe 0.000 0.500 0.500 [2 per cell]
Ge 0.500 0.500 0.240 [2 per cell]

Results
The value obtained for the energy relative to the elements is 0.222 eV per atom. As for the crystal system: tetragonal. The total magnetization comes out at 6.99 μB per formula unit.

> Which value of total magnetization does entry 1 give?

1.87 μB per formula unit